DFT (GGA+U) results for a relaxed VAg2F8 crystal.

a b c (Å): 6.286 6.286 4.465
angles (deg): 91.32 91.32 75.45
Atoms (fractional coordinates):
V 0.000 0.000 0.000
Ag 0.373 0.373 0.749
Ag 0.627 0.627 0.251
F 0.085 0.749 0.777
F 0.144 0.144 0.753
F 0.251 0.915 0.223
F 0.397 0.397 0.252
F 0.603 0.603 0.748
F 0.749 0.085 0.777
F 0.856 0.856 0.247
F 0.915 0.251 0.223

Values from the calculation:
- raw total energy (eV per formula unit) = -48.59
- density of states at the Fermi level (states/eV/f.u.) = 3.1